# 1
Here is crystalline La5URu4 at its relaxed geometry from Alexandria via LeMat-Bulk. Energies are from PBE-GGA.

The structure in CIF format:
```
data_La5URu4
_chemical_formula_sum 'La10 U2 Ru8'
_symmetry_space_group_name_H-M 'C 1 2/m 1'
_symmetry_Int_Tables_number 12
_symmetry_space_group_name_Hall '-C 2y'
_cell_length_a 18.359
_cell_length_b 4.315
_cell_length_c 7.536
_cell_angle_alpha 90.00
_cell_angle_beta 113.20
_cell_angle_gamma 90.00
loop_
_atom_site_label
_atom_site_fract_x
_atom_site_fract_y
_atom_site_fract_z
_atom_site_occupancy
La1 0.000 0.000 0.000 1
La2 0.159 0.500 0.776 1
La3 0.175 0.500 0.292 1
U1 0.000 0.000 0.500 1
Ru1 0.015 0.500 0.319 1
Ru2 0.138 0.000 0.495 1
```

Computed properties:
ΔE_f ... -28.8 kJ/mol of atoms

---

# 2
Here is crystalline Cu2PbSe at its relaxed geometry from Alexandria via LeMat-Bulk. Energies are from PBE-GGA.

The structure in CIF format:
```
data_Cu2PbSe
_chemical_formula_sum 'Cu8 Pb4 Se4'
_symmetry_space_group_name_H-M 'F -4 3 m'
_symmetry_Int_Tables_number 216
_symmetry_space_group_name_Hall 'F -4 2 3'
_cell_length_a 6.872
_cell_length_b 6.872
_cell_length_c 6.872
_cell_angle_alpha 90.00
_cell_angle_beta 90.00
_cell_angle_gamma 90.00
loop_
_atom_site_label
_atom_site_fract_x
_atom_site_fract_y
_atom_site_fract_z
_atom_site_occupancy
Cu1 0.000 0.000 0.000 1
Cu2 0.250 0.250 0.250 1
Pb1 0.250 0.250 0.750 1
Se1 0.000 0.000 0.500 1
```

Computed properties:
Formation energy without anion corrections ... 156 kJ/mol of formula units

---

# 3
Here is crystalline ErReW at its relaxed geometry from Alexandria via LeMat-Bulk. Energies are from PBE-GGA.

The structure in CIF format:
```
data_ErReW
_chemical_formula_sum 'Er4 Re4 W4'
_symmetry_space_group_name_H-M 'I m m a'
_symmetry_Int_Tables_number 74
_symmetry_space_group_name_Hall '-I 2b 2'
_cell_length_a 5.444
_cell_length_b 5.491
_cell_length_c 7.681
_cell_angle_alpha 90.00
_cell_angle_beta 90.00
_cell_angle_gamma 90.00
loop_
_atom_site_label
_atom_site_fract_x
_atom_site_fract_y
_atom_site_fract_z
_atom_site_occupancy
Er1 0.000 0.250 0.123 1
Re1 0.250 0.250 0.750 1
W1 0.000 0.000 0.500 1
```

Computed properties:
ΔE_f ... -11.8 kJ/mol of atoms
ΔE to the lowest computed polymorph ... 0.00 eV per formula unit

---

# 4
Here is crystalline HfGaPb2O6 at its relaxed geometry from Alexandria via LeMat-Bulk. Energies are from PBE-GGA.

The structure in CIF format:
```
data_HfGaPb2O6
_chemical_formula_sum 'Hf2 Ga2 Pb4 O12'
_symmetry_space_group_name_H-M 'P 1 21/c 1'
_symmetry_Int_Tables_number 14
_symmetry_space_group_name_Hall '-P 2ybc'
_cell_length_a 5.668
_cell_length_b 5.730
_cell_length_c 9.852
_cell_angle_alpha 90.00
_cell_angle_beta 125.11
_cell_angle_gamma 90.00
loop_
_atom_site_label
_atom_site_fract_x
_atom_site_fract_y
_atom_site_fract_z
_atom_site_occupancy
Hf1 0.000 0.000 0.000 1
Ga1 0.500 0.000 0.500 1
Pb1 0.256 0.031 0.751 1
O1 0.181 0.016 0.254 1
O2 0.252 0.708 0.038 1
O3 0.331 0.214 0.036 1
```

Computed properties:
Formation energy without anion corrections ... -1823 kJ/mol of formula units

---

V values (in A^3/atom) by entry order: 27.43; 20.29; 19.13; 13.09.